Model i:
First-principles (GGA-PBEsol) data for an optimized crystal structure of Y2MnTc, as listed in Alexandria via LeMat-Bulk.

It has space group Fm-3m (No. 225), with a = 6.860 Å, b = 6.860 Å, c = 6.860 Å, α = 90.00°, β = 90.00° and γ = 90.00°. The inequivalent atoms are Y at (0.250, 0.250, 0.250), Mn at (0.000, 0.000, 0.000) and Tc at (0.000, 0.000, 0.500).

The calculation puts the size of the total moment at 15.351 μB per cell.

Model ii:
First-principles (GGA-PBEsol) data for an optimized crystal structure of Y2MnTc, as listed in Alexandria via LeMat-Bulk.

It has space group I-4m2 (No. 119), with a = 4.124 Å, b = 4.124 Å, c = 9.397 Å, α = 90.00°, β = 90.00° and γ = 90.00°. The inequivalent atoms are Y at (0.000, 0.000, 0.000), Y at (0.000, 0.500, 0.250), Mn at (0.000, 0.000, 0.500) and Tc at (0.000, 0.500, 0.750).

The calculation puts the size of the total moment at 7.426 μB per cell.

Last place for stability: model ii

Model i:
First-principles (GGA-PBEsol) data for an optimized crystal structure of Y2MnTc, as listed in Alexandria via LeMat-Bulk.

It has space group F-43m (No. 216), with a = 6.762 Å, b = 6.762 Å, c = 6.762 Å, α = 90.00°, β = 90.00° and γ = 90.00°. The inequivalent atoms are Y at (0.000, 0.000, 0.000), Y at (0.250, 0.250, 0.250), Mn at (0.250, 0.250, 0.750) and Tc at (0.000, 0.000, 0.500).

The calculation puts the size of the total moment at 15.523 μB per cell.

Model ii:
First-principles (GGA-PBEsol) data for an optimized crystal structure of Y2MnTc, as listed in Alexandria via LeMat-Bulk.

It has space group R3m (No. 160, hexagonal axes), with a = 3.8467 Å, b = 3.8467 Å, c = 22.0117 Å, α = 90.00°, β = 90.00° and γ = 120.00°. The inequivalent atoms are Y at (0.0000, 0.0000, 0.0000), Y at (0.0000, 0.0000, 0.1886), Mn at (0.0000, 0.0000, 0.4359) and Tc at (0.0000, 0.0000, 0.7546).

The calculation puts the size of the total moment at 0.004 μB per cell.

Last place for stability: model i

Model i:
First-principles (GGA-PBEsol) data for an optimized crystal structure of MnZnTc, as listed in Alexandria via LeMat-Bulk.

It has space group F-43m (No. 216), with a = 5.708 Å, b = 5.708 Å, c = 5.708 Å, α = 90.00°, β = 90.00° and γ = 90.00°. The inequivalent atoms are Mn at (0.000, 0.000, 0.000), Zn at (0.250, 0.250, 0.750) and Tc at (0.000, 0.000, 0.500).

The calculation puts the size of the total moment at 10.766 μB per cell.

Model ii:
First-principles (GGA-PBEsol) data for an optimized crystal structure of MnZnTc, as listed in Alexandria via LeMat-Bulk.

It has space group I4mm (No. 107), with a = 2.871 Å, b = 2.871 Å, c = 9.152 Å, α = 90.00°, β = 90.00° and γ = 90.00°. The inequivalent atoms are Mn at (0.000, 0.000, 0.000), Zn at (0.000, 0.000, 0.332) and Tc at (0.000, 0.000, 0.642).

The calculation puts the size of the total moment at 0.001 μB per cell.

Last place for stability: model i

Model i:
First-principles (GGA-PBEsol) data for an optimized crystal structure of Mn2TlTe, as listed in Alexandria via LeMat-Bulk.

It has space group I-4m2 (No. 119), with a = 4.001 Å, b = 4.001 Å, c = 9.843 Å, α = 90.00°, β = 90.00° and γ = 90.00°. The inequivalent atoms are Mn at (0.000, 0.000, 0.000), Mn at (0.000, 0.500, 0.250), Tl at (0.000, 0.500, 0.750) and Te at (0.000, 0.000, 0.500).

The calculation puts the size of the total moment at 15.201 μB per cell.

Model ii:
First-principles (GGA-PBEsol) data for an optimized crystal structure of Mn2TlTe, as listed in Alexandria via LeMat-Bulk.

It has space group C2/m (No. 12), with a = 6.327 Å, b = 7.051 Å, c = 3.518 Å, α = 90.00°, β = 98.91° and γ = 90.00°. The inequivalent atoms are Mn at (0.250, 0.250, 0.000), Tl at (0.000, 0.000, 0.500) and Te at (0.000, 0.500, 0.500).

The calculation puts the size of the total moment at 14.391 μB per cell.

Model iii:
First-principles (GGA-PBEsol) data for an optimized crystal structure of Mn2TlTe, as listed in Alexandria via LeMat-Bulk.

It has space group P4/mmm (No. 123), with a = 3.333 Å, b = 3.333 Å, c = 6.741 Å, α = 90.00°, β = 90.00° and γ = 90.00°. The inequivalent atoms are Mn at (0.000, 0.000, 0.217), Tl at (0.500, 0.500, 0.500) and Te at (0.500, 0.500, 0.000).

The calculation puts the size of the total moment at 6.608 μB per cell.

Model iv:
First-principles (GGA-PBEsol) data for an optimized crystal structure of Mn2TlTe, as listed in Alexandria via LeMat-Bulk.

It has space group P4mm (No. 99), with a = 3.109 Å, b = 3.109 Å, c = 7.873 Å, α = 90.00°, β = 90.00° and γ = 90.00°. The inequivalent atoms are Mn at (0.000, 0.000, 0.000), Mn at (0.500, 0.500, 0.172), Tl at (0.500, 0.500, 0.759) and Te at (0.000, 0.000, 0.355).

The calculation puts the size of the total moment at 3.823 μB per cell.

Last place for stability: model ii

Model i:
First-principles (GGA-PBEsol) data for an optimized crystal structure of YZr2Mn, as listed in Alexandria via LeMat-Bulk.

It has space group Cmmm (No. 65), with a = 4.205 Å, b = 4.743 Å, c = 8.357 Å, α = 90.00°, β = 90.00° and γ = 90.00°. The inequivalent atoms are Y at (0.000, 0.000, 0.000), Zr at (0.000, 0.500, 0.319) and Mn at (0.000, 0.000, 0.500).

The calculation puts the size of the total moment at 0.003 μB per cell.

Model ii:
First-principles (GGA-PBEsol) data for an optimized crystal structure of YZr2Mn, as listed in Alexandria via LeMat-Bulk.

It has space group Immm (No. 71), with a = 3.291 Å, b = 5.139 Å, c = 9.716 Å, α = 90.00°, β = 90.00° and γ = 90.00°. The inequivalent atoms are Y at (0.000, 0.000, 0.000), Zr at (0.000, 0.500, 0.201) and Mn at (0.000, 0.000, 0.500).

The calculation puts the size of the total moment at 0.009 μB per cell.

Last place for stability: model i